Entry from OQMD via LeMat-Bulk: a relaxed Tb3Pd crystal (GGA-PBE).

Summary:
* crystal system: orthorhombic
* ΔE_f: -468 meV per atom
* magnetization: 0.02 μB per cell

Cell lengths 7.052, 9.735, 6.434 Å; angles 90.00, 90.00, 90.00 degrees
Sites, in units of the cell vectors:
1 Tb 0.024 0.250 0.134
2 Tb 0.181 0.059 0.673
3 Tb 0.181 0.441 0.673
4 Tb 0.319 0.559 0.173
5 Tb 0.319 0.941 0.173
6 Tb 0.476 0.750 0.634
7 Tb 0.524 0.250 0.366
8 Tb 0.681 0.059 0.827
9 Tb 0.681 0.441 0.827
10 Tb 0.819 0.559 0.327
11 Tb 0.819 0.941 0.327
12 Tb 0.976 0.750 0.866
13 Pd 0.112 0.750 0.437
14 Pd 0.388 0.250 0.937
15 Pd 0.612 0.750 0.063
16 Pd 0.888 0.250 0.563

Entry from OQMD via LeMat-Bulk: a relaxed TbThPd6 crystal (GGA-PBE).

Summary:
* crystal system: tetragonal
* ΔE_f: -960 meV per atom
* magnetization: 0.01 μB per cell

Cell lengths 4.165, 4.165, 8.298 Å; angles 90.00, 90.00, 90.00 degrees
Sites, in units of the cell vectors:
1 Tb 0.000 0.000 0.000
2 Th 0.000 0.000 0.500
3 Pd 0.000 0.500 0.249
4 Pd 0.000 0.500 0.751
5 Pd 0.500 0.000 0.249
6 Pd 0.500 0.000 0.751
7 Pd 0.500 0.500 0.000
8 Pd 0.500 0.500 0.500

Entry from OQMD via LeMat-Bulk: a relaxed TbTlPd crystal (GGA-PBE).

Summary:
* E above lowest polymorph: 362.6 meV/atom
* crystal system: hexagonal
* magnetization: 0.02 μB per cell

Cell lengths 8.223, 8.223, 3.489 Å; angles 90.00, 90.00, 120.00 degrees
Sites, in units of the cell vectors:
1 Tb 0.000 0.295 0.000
2 Tb 0.295 0.000 0.000
3 Tb 0.705 0.705 0.000
4 Tl 0.000 0.000 0.500
5 Tl 0.333 0.667 0.000
6 Tl 0.667 0.333 0.000
7 Pd 0.000 0.636 0.500
8 Pd 0.364 0.364 0.500
9 Pd 0.636 0.000 0.500

What is the magnetization in the third record?
0.02 μB per cell